# 1
## TcSb2TeO (PBE)

Data for crystalline TcSb2TeO at its relaxed geometry.

The uncorrected formation energy comes out at 769 meV per atom. The calculation puts the excess energy over the best structure of this formula in the dataset at 320 meV per atom. The space-group type is No. 123.

Cell: 5.1398 5.1398 5.0355 Å, 90.00 90.00 90.00°
With the nearest neighbours (Å) after each atom.
Fractional positions:
Tc (0.0000, 0.0000, 0.0000)  2 Te 2.52, 4 Sb 2.57
Sb (0.0000, 0.5000, 0.0000)  2 Tc 2.57
Sb (0.5000, 0.0000, 0.0000)  2 Tc 2.57
Te (0.0000, 0.0000, 0.5000)  2 Tc 2.52
O (0.5000, 0.5000, 0.5000)  8 Sb 3.60, 4 Te 3.63

# 2
## Tb5Y6Th (PBE)

Data for crystalline Tb5Y6Th at its relaxed geometry.

The calculation puts the excess energy over the best structure of this formula in the dataset at 93 meV per atom. The space-group type is No. 71. As for the formation energy: 0.12 eV per atom.

Cell: 10.1032 10.1032 10.1032 Å, 146.51 136.40 56.07°
With the nearest neighbours (Å) after each atom.
Fractional positions:
Tb (0.0000, 0.0000, 0.0000)  8 Y 3.48-3.70, 2 Th 3.75
Tb (0.1547, 0.6547, 0.5000)  8 Y 3.35-3.52, 2 Tb 3.75
Tb (0.3447, 0.3447, 0.0000)  8 Y 3.33-3.52
Tb (0.6553, 0.6553, 0.0000)  8 Y 3.33-3.52
Tb (0.8453, 0.3453, 0.5000)  8 Y 3.35-3.52, 2 Tb 3.75
Y (0.0739, 0.8220, 0.2519)  7 Tb 3.48-3.70, 1 Th 3.68, 4 Y 3.72-3.88
Y (0.2532, 0.5000, 0.7532)  6 Tb 3.33-3.48, 2 Th 3.45, 1 Y 3.70
Y (0.4299, 0.1780, 0.2519)  7 Tb 3.48-3.70, 1 Th 3.68, 4 Y 3.72-3.88
Y (0.5701, 0.8220, 0.7481)  7 Tb 3.48-3.70, 1 Th 3.68, 4 Y 3.72-3.88
Y (0.7468, 0.5000, 0.2468)  6 Tb 3.33-3.48, 2 Th 3.45, 1 Y 3.70
Y (0.9261, 0.1780, 0.7481)  7 Tb 3.48-3.70, 1 Th 3.68, 4 Y 3.72-3.88
Th (0.5000, 0.0000, 0.5000)  8 Y 3.45-3.68, 2 Tb 3.75

# 3
## CaMo2Pt (PBE)

Data for crystalline CaMo2Pt at its relaxed geometry.

The calculation puts the excess energy over the best structure of this formula in the dataset at 206 meV per atom. The space-group type is No. 139. As for the formation energy: 0.26 eV per atom.

Cell: 5.4854 5.4854 5.4854 Å, 138.61 138.61 59.97°
With the nearest neighbours (Å) after each atom.
Fractional positions:
Ca (0.0000, 0.0000, 0.0000)  4 Pt 2.74, 8 Mo 3.07
Mo (0.2500, 0.7500, 0.5000)  4 Mo 2.74, 4 Ca 3.07, 4 Pt 3.07
Mo (0.7500, 0.2500, 0.5000)  4 Mo 2.74, 4 Ca 3.07, 4 Pt 3.07
Pt (0.5000, 0.5000, 0.0000)  4 Ca 2.74, 8 Mo 3.07

# 4
## SrMgTc (PBE)

Data for crystalline SrMgTc at its relaxed geometry.

The calculation puts the excess energy over the best structure of this formula in the dataset at 888 meV per atom. The space-group type is No. 216. As for the formation energy: 1.48 eV per atom.

Cell: 5.1302 5.1302 5.1302 Å, 60.00 60.00 60.00°
With the nearest neighbours (Å) after each atom.
Fractional positions:
Sr (0.0000, 0.0000, 0.0000)  4 Tc 3.14, 4 Mg 3.14
Mg (0.7500, 0.7500, 0.7500)  4 Sr 3.14
Tc (0.2500, 0.2500, 0.2500)  4 Sr 3.14

We obtain electronic total energy values of -22.9; -67.9; -28.7; -9.2 eV/cell for the records listed above, in that order.